Entry from Alexandria via LeMat-Bulk: crystalline CrAuCl2 at its relaxed geometry (PBE-GGA).

Calculated values
Density of states at the Fermi level in states/eV per cell: 3.1
Mass density in Mg/m³: 5.503
Relative energy among the computed polymorphs in eV/atom: 0.107
Formation energy (no corrections) in eV per atom: -0.3016

Structure (POSCAR):
```
CrAuCl2
1.0
10.422 0.047 0.028
9.886 3.301 0.028
9.886 1.630 2.871
Cl Au Cr
2 1 1
direct
0.034 0.034 0.034
0.466 0.466 0.466
0.250 0.250 0.250
0.750 0.750 0.750
```


Entry from Alexandria via LeMat-Bulk: crystalline LiBe2Cd at its relaxed geometry (PBE-GGA).

Calculated values
Calculated formation energy in eV/atom: 0.266
Density of states at the Fermi level in states/eV per cell: 0.6
Mass density in Mg/m³: 4.534

Structure (POSCAR):
```
LiBe2Cd
1.0
-0.297 0.264 -3.159
-3.317 -2.080 0.137
-5.382 1.351 0.618
Cd Be Li
1 2 1
direct
0.500 0.500 0.500
0.500 0.500 0.000
0.000 0.000 0.000
0.000 0.000 0.500
```


Entry from Alexandria via LeMat-Bulk: crystalline TbCe5Os3 at its relaxed geometry (PBE-GGA).

Calculated values
Calculated formation energy in eV/atom: -0.073
Density of states at the Fermi level in states/eV per cell: 47.5
Mass density in Mg/m³: 8.879

Structure (POSCAR):
```
TbCe5Os3
1.0
7.737 0.138 0.123
2.251 7.404 0.123
3.106 2.345 9.466
Os Ce Tb
6 10 2
direct
0.656 0.656 0.330
0.332 0.332 0.167
0.000 0.000 0.000
0.344 0.344 0.670
0.668 0.668 0.833
0.000 0.000 0.500
0.034 0.643 0.668
0.966 0.357 0.332
0.357 0.966 0.332
0.427 0.427 0.373
0.232 0.232 0.965
0.768 0.768 0.035
0.700 0.300 0.000
0.643 0.034 0.668
0.300 0.700 0.000
0.573 0.573 0.627
0.107 0.107 0.698
0.893 0.893 0.302
```